(1)
# PBEsol InPb2W, relaxed
data_InPb2W
_chemical_formula_sum 'In1 Pb2 W1'
_cell_length_a 3.0739
_cell_length_b 4.6402
_cell_length_c 6.4490
_cell_angle_alpha 90.00
_cell_angle_beta 90.00
_cell_angle_gamma 90.00
_space_group_name_H-M_alt 'P 1'
_space_group_IT_number 1
loop_
_space_group_symop_operation_xyz
'x,y,z'
loop_
_atom_site_label
_atom_site_type_symbol
_atom_site_fract_x
_atom_site_fract_y
_atom_site_fract_z
In1 In 0.0000 0.0000 0.0000
Pb1 Pb 0.5000 0.5000 0.2679
Pb2 Pb 0.5000 0.5000 0.7321
W1 W 0.0000 0.0000 0.5000
# Crystal system ... orthorhombic
# Fermi-level density of states ... 3.384 states/eV/cell
# Uncorrected energy ... -21.36 eV per cell

=====

(2)
# PBEsol InPb3W, relaxed
data_InPb3W
_chemical_formula_sum 'In1 Pb3 W1'
_cell_length_a 5.5209
_cell_length_b 5.5209
_cell_length_c 5.5209
_cell_angle_alpha 90.00
_cell_angle_beta 90.00
_cell_angle_gamma 90.00
_space_group_name_H-M_alt 'P 1'
_space_group_IT_number 1
loop_
_space_group_symop_operation_xyz
'x,y,z'
loop_
_atom_site_label
_atom_site_type_symbol
_atom_site_fract_x
_atom_site_fract_y
_atom_site_fract_z
In1 In 0.0000 0.0000 0.0000
Pb1 Pb 0.0000 0.0000 0.5000
Pb2 Pb 0.0000 0.5000 0.0000
Pb3 Pb 0.5000 0.0000 0.0000
W1 W 0.5000 0.5000 0.5000
# Crystal system ... cubic
# Fermi-level density of states ... 3.379 states/eV/cell
# Uncorrected energy ... -19.86 eV per cell

=====

Question: Number 1 is which compound?
Answer: InPb2W